Record 1
La4SiTe: relaxed, PBE.

abc: 6.3755 6.3755 6.3755
angles: 60.00 60.00 60.00
Closest atoms and distances in Å follow each position.
Fractional coordinates of all 6 atoms:
La (0.3760, 0.3760, 0.8720)  6 La 3.16-3.21
La (0.3760, 0.3760, 0.3760)  6 La 3.16-3.21
La (0.8720, 0.3760, 0.3760)  6 La 3.16-3.21
La (0.3760, 0.8720, 0.3760)  6 La 3.16-3.21
Si (0.7500, 0.7500, 0.7500)  12 La 3.74, 4 Te 3.90
Te (0.0000, 0.0000, 0.0000)  12 La 3.74, 4 Si 3.90

Output
Space-group type: F-43m (216)

---

Record 2
La2SiTe: relaxed, PBE.

abc: 5.3215 5.3215 5.3215
angles: 60.00 60.00 60.00
Closest atoms and distances in Å follow each position.
Fractional coordinates of all 4 atoms:
La (0.0000, 0.0000, 0.0000)  4 La 3.26, 4 Te 3.26
La (0.2500, 0.2500, 0.2500)  4 La 3.26, 4 Si 3.26
Te (0.7500, 0.7500, 0.7500)  4 Si 3.26, 4 La 3.26
Si (0.5000, 0.5000, 0.5000)  4 La 3.26, 4 Te 3.26

Output
ΔE to the lowest computed polymorph (eV/atom): 0.847
Space-group type: F-43m (216)

---

Record 3
LaSiTe: relaxed, PBE.

abc: 4.2881 4.2881 12.1907
angles: 79.87 79.87 60.00
Closest atoms and distances in Å follow each position.
Fractional coordinates of all 6 atoms:
Si (0.8405, 0.8405, 0.4786)  3 Si 2.53
Si (0.1595, 0.1595, 0.5214)  3 Si 2.53
Te (0.2839, 0.2839, 0.1482)  3 La 3.11
Te (0.7161, 0.7161, 0.8518)  3 La 3.11
La (0.5648, 0.5648, 0.3057)  3 Te 3.11, 3 Si 3.22
La (0.4352, 0.4352, 0.6943)  3 Te 3.11, 3 Si 3.22

Output
ΔE to the lowest computed polymorph (eV/atom): 0.000
Space-group type: R-3m (166)

---

Record 4
La2SiTe: relaxed, PBE.

abc: 3.7589 3.7589 8.0302
angles: 90.00 90.00 90.00
Closest atoms and distances in Å follow each position.
Fractional coordinates of all 4 atoms:
Si (0.5000, 0.5000, 0.2500)  8 La 3.25
La (0.0000, 0.0000, 0.0180)  4 Si 3.25, 4 Te 3.42
La (0.0000, 0.0000, 0.4820)  4 Si 3.25, 4 Te 3.42
Te (0.5000, 0.5000, 0.7500)  8 La 3.42, 4 Te 3.76

Output
ΔE to the lowest computed polymorph (eV/atom): 0.234
Space-group type: P4/mmm (123)

---

Respective VASP energy values: -28.3; -19.7; -31.9; -22.2 eV per cell.
Respective V values: 183; 107; 190; 113 Å³ per cell.